Entry 1:
MnReIrF2: relaxed, PBE with a Hubbard U.

VASP energy	-6.8076	eV per atom
magnetic moment	0.70	μB per atom
calculated volume	87	Å³/cell
SG	No. 123

abc: 3.679 3.679 6.421
angles: 90.00 90.00 90.00
Fractional coordinates of all 5 atoms:
Mn  0.000  0.000  0.000
Re  0.000  0.000  0.500
Ir  0.500  0.500  0.500
F  0.000  0.500  0.000
F  0.500  0.000  0.000

Entry 2:
MnSb2IrF: relaxed, PBE with a Hubbard U.

VASP energy	-5.2329	eV per atom
magnetic moment	0.74	μB per atom
calculated volume	102	Å³/cell
SG	No. 123

abc: 5.258 5.258 3.676
angles: 90.00 90.00 90.00
Fractional coordinates of all 5 atoms:
Mn  0.000  0.000  0.000
Sb  0.000  0.500  0.000
Sb  0.500  0.000  0.000
Ir  0.500  0.500  0.500
F  0.000  0.000  0.500

Entry 3:
SrMnIrF2: relaxed, PBE with a Hubbard U.

VASP energy	-5.3082	eV per atom
magnetic moment	0.78	μB per atom
calculated volume	130	Å³/cell
SG	No. 123

abc: 4.412 4.412 6.667
angles: 90.00 90.00 90.00
Fractional coordinates of all 5 atoms:
Sr  0.000  0.000  0.000
Mn  0.500  0.500  0.500
Ir  0.000  0.000  0.500
F  0.000  0.500  0.000
F  0.500  0.000  0.000

Entry 4:
TiMnIrF2: relaxed, PBE with a Hubbard U.

VASP energy	-6.4246	eV per atom
magnetic moment	0.78	μB per atom
calculated volume	102	Å³/cell
SG	No. 123

abc: 3.731 3.731 7.347
angles: 90.00 90.00 90.00
Fractional coordinates of all 5 atoms:
Ti  0.000  0.000  0.000
Mn  0.000  0.000  0.500
Ir  0.500  0.500  0.000
F  0.000  0.500  0.500
F  0.500  0.000  0.500

Q: Number 3 is which compound?
A: SrMnIrF2

Q: What is the VASP energy in the second record?
A: -5.2329 eV per atom

Q: Look up the magnetic moment of the first one.
A: 0.70 μB per atom

Q: What is the formula in the first record?
A: MnReIrF2